# PBE-GGA SbSe2, relaxed
# DFT total energy	-3.6757	eV/atom
# Fermi-level density of states	2.172	states/eV per cell
# magnetization	0.00	μB/f.u.
# formation energy (no corrections)	0.021	eV per atom
data_SbSe2
_cell_length_a 3.895
_cell_length_b 22.241
_cell_length_c 3.869
_cell_angle_alpha 90.00
_cell_angle_beta 90.00
_cell_angle_gamma 90.00
_space_group_name_H-M_alt 'C m c m'
_space_group_IT_number 63
_space_group_name_Hall '-C 2c 2'
loop_
_atom_site_label
_atom_site_type_symbol
_atom_site_fract_x
_atom_site_fract_y
_atom_site_fract_z
Sb1 Sb 0.000 0.135 0.250
Se1 Se 0.000 0.249 0.750
Se2 Se 0.000 0.412 0.250